Below is a relaxed CeYCo2P2 crystal, with properties calculated at the PBE level.

Properties
* ΔE_f: -1.0897 eV per atom
* total moment: 0.0 μB per formula unit
* E: -7.328 eV/atom

Lattice parameters (Å, degrees): 3.871 3.871 7.881 90.00 90.00 120.00
Element x y z (fractional)
Ce: 0.000 0.000 0.000
Y: 0.000 0.000 0.500
Co: 0.333 0.667 0.766
Co: 0.667 0.333 0.234
P: 0.333 0.667 0.262
P: 0.667 0.333 0.738